(1)
Material: MgBiP2O
Method: DFT, PBE-GGA
State: optimized geometry

Values from the calculation:
Space group ... P4/mmm

a b c (Å): 5.3190 5.3190 4.1448
angles (deg): 90.00 90.00 90.00
Sites, in units of the cell vectors:
1 Bi 0.0000 0.0000 0.0000
2 P 0.5000 0.0000 0.0000
3 P 0.0000 0.5000 0.0000
4 O 0.0000 0.0000 0.5000
5 Mg 0.5000 0.5000 0.5000

---

(2)
Material: MgTiBiP3O12
Method: DFT, PBE-GGA
State: optimized geometry

Values from the calculation:
Space group ... R3c

a b c (Å): 8.4139 8.4139 8.4139
angles (deg): 64.45 64.45 64.45
Sites, in units of the cell vectors:
1 O 0.5667 0.4085 0.7377
2 O 0.9141 0.7448 0.0923
3 O 0.8798 0.5077 0.7051
4 O 0.2448 0.4141 0.5923
5 O 0.2377 0.9085 0.0667
6 O 0.0600 0.5674 0.3371
7 O 0.7377 0.5667 0.4085
8 O 0.9085 0.0667 0.2377
9 O 0.0077 0.3798 0.2051
10 O 0.3798 0.2051 0.0077
11 O 0.0674 0.5600 0.8371
12 O 0.5600 0.8371 0.0674
13 O 0.7448 0.0923 0.9141
14 O 0.4085 0.7377 0.5667
15 O 0.5674 0.3371 0.0600
16 O 0.3371 0.0600 0.5674
17 O 0.0667 0.2377 0.9085
18 O 0.7051 0.8798 0.5077
19 O 0.0923 0.9141 0.7448
20 O 0.2051 0.0077 0.3798
21 O 0.4141 0.5923 0.2448
22 O 0.8371 0.0674 0.5600
23 O 0.5923 0.2448 0.4141
24 O 0.5077 0.7051 0.8798
25 P 0.7585 0.0666 0.4293
26 P 0.0666 0.4293 0.7585
27 P 0.5666 0.2585 0.9293
28 P 0.9293 0.5666 0.2585
29 P 0.2585 0.9293 0.5666
30 P 0.4293 0.7585 0.0666
31 Bi 0.3315 0.3315 0.3315
32 Bi 0.8315 0.8315 0.8315
33 Ti 0.1493 0.1493 0.1493
34 Ti 0.6493 0.6493 0.6493
35 Mg 0.4934 0.4934 0.4934
36 Mg 0.9934 0.9934 0.9934

---

(3)
Material: Mg2PaBiO8
Method: DFT, PBE-GGA
State: optimized geometry

Values from the calculation:
Space group ... I-4m2

a b c (Å): 5.9672 5.9672 5.9672
angles (deg): 112.42 112.42 103.72
Last column: magnetic moment on the atom in μB.
Sites, in units of the cell vectors:
1 O 0.5224 0.7073 0.8150  -0.07
2 O 0.7311 0.0437 0.6874  -0.01
3 O 0.8923 0.7073 0.1850  -0.07
4 O 0.2927 0.1077 0.8150  -0.07
5 O 0.2927 0.4776 0.1850  -0.07
6 O 0.9563 0.2689 0.3126  -0.01
7 O 0.3563 0.0437 0.3126  -0.01
8 O 0.9563 0.6437 0.6874  -0.01
9 Bi 0.2500 0.7500 0.5000  0.01
10 Mg 0.5000 0.5000 0.0000  0.00
11 Mg 0.7500 0.2500 0.5000  0.00
12 Pa 0.0000 0.0000 0.0000  0.01

---

(4)
Material: MgPaBiO5
Method: DFT, PBE-GGA
State: optimized geometry

Values from the calculation:
Space group ... C2/c

a b c (Å): 6.6025 6.6025 8.4663
angles (deg): 106.71 106.71 114.72
Sites, in units of the cell vectors:
1 Pa 0.0000 0.0000 0.0000
2 Pa 0.0000 0.0000 0.5000
3 O 0.6354 0.8680 0.9662
4 O 0.6238 0.9500 0.3535
5 O 0.1320 0.3646 0.5337
6 O 0.0777 0.9223 0.2500
7 O 0.3646 0.1320 0.0338
8 O 0.9223 0.0777 0.7500
9 O 0.3762 0.0500 0.6465
10 O 0.8680 0.6354 0.4662
11 O 0.9500 0.6238 0.8535
12 O 0.0500 0.3762 0.1465
13 Mg 0.2568 0.7432 0.2500
14 Mg 0.7432 0.2568 0.7500
15 Bi 0.7477 0.2523 0.2500
16 Bi 0.2523 0.7477 0.7500

---

(5)
Material: MgPaBi2O6
Method: DFT, PBE-GGA
State: optimized geometry

Values from the calculation:
Space group ... P2_1/c

a b c (Å): 6.0105 5.8533 8.2687
angles (deg): 90.00 92.11 90.00
Sites, in units of the cell vectors:
1 O 0.1110 0.4569 0.7497
2 O 0.7723 0.7645 0.9299
3 O 0.3890 0.9569 0.7503
4 O 0.6110 0.0431 0.2497
5 O 0.7593 0.7680 0.5791
6 O 0.7277 0.2645 0.5701
7 O 0.2723 0.7355 0.4299
8 O 0.7407 0.2680 0.9209
9 O 0.2407 0.2320 0.4209
10 O 0.2277 0.2355 0.0701
11 O 0.8890 0.5431 0.2503
12 O 0.2593 0.7320 0.0791
13 Bi 0.9710 0.0411 0.7605
14 Bi 0.4710 0.4589 0.2605
15 Bi 0.0290 0.9589 0.2395
16 Bi 0.5290 0.5411 0.7395
17 Pa 0.5000 0.0000 0.0000
18 Pa 0.0000 0.5000 0.5000
19 Mg 0.0000 0.5000 0.0000
20 Mg 0.5000 0.0000 0.5000

---

(6)
Material: MgBiPb2O6
Method: DFT, PBE-GGA
State: optimized geometry

Values from the calculation:
Space group ... P2_1/c

a b c (Å): 5.7676 5.9316 8.2368
angles (deg): 90.00 89.66 90.00
Sites, in units of the cell vectors:
1 Bi 0.0000 0.5000 0.0000
2 Bi 0.5000 0.0000 0.5000
3 Pb 0.5094 0.5452 0.7528
4 Pb 0.4906 0.4548 0.2472
5 Pb 0.9906 0.0452 0.7472
6 Pb 0.0094 0.9548 0.2528
7 O 0.9002 0.5371 0.2517
8 O 0.6954 0.3000 0.9543
9 O 0.6979 0.2978 0.5515
10 O 0.3046 0.7000 0.0457
11 O 0.4002 0.9629 0.7517
12 O 0.8046 0.8000 0.5457
13 O 0.3021 0.7022 0.4485
14 O 0.0998 0.4629 0.7483
15 O 0.8021 0.7978 0.9485
16 O 0.1979 0.2022 0.0515
17 O 0.1954 0.2000 0.4543
18 O 0.5998 0.0371 0.2483
19 Mg 0.0000 0.5000 0.5000
20 Mg 0.5000 0.0000 0.0000

---

(7)
Material: Pm2MgBiO6
Method: DFT, PBE-GGA
State: optimized geometry

Values from the calculation:
Space group ... P2_1/c

a b c (Å): 5.6458 5.9156 8.4050
angles (deg): 90.00 88.38 90.00
Sites, in units of the cell vectors:
1 Pm 0.9726 0.0605 0.7471
2 Pm 0.5274 0.5605 0.7529
3 Pm 0.0274 0.9395 0.2529
4 Pm 0.4726 0.4395 0.2471
5 O 0.6887 0.2911 0.9285
6 O 0.6359 0.0608 0.2445
7 O 0.3641 0.9392 0.7555
8 O 0.8113 0.7911 0.5715
9 O 0.7085 0.3065 0.5745
10 O 0.1359 0.4392 0.7445
11 O 0.1887 0.2089 0.4285
12 O 0.3113 0.7089 0.0715
13 O 0.8641 0.5608 0.2555
14 O 0.2915 0.6935 0.4255
15 O 0.2085 0.1935 0.0745
16 O 0.7915 0.8065 0.9255
17 Bi 0.5000 0.0000 0.5000
18 Bi 0.0000 0.5000 0.0000
19 Mg 0.0000 0.5000 0.5000
20 Mg 0.5000 0.0000 0.0000

---

(8)
Material: PmMg2BiO6
Method: DFT, PBE-GGA
State: optimized geometry

Values from the calculation:
Space group ... R3

a b c (Å): 5.5230 5.5230 5.8334
angles (deg): 61.74 61.74 59.99
Sites, in units of the cell vectors:
1 Mg 0.5217 0.5217 0.4349
2 Mg 0.0171 0.0171 0.9486
3 O 0.9087 0.6187 0.2376
4 O 0.7249 0.1565 0.7505
5 O 0.2350 0.9087 0.2375
6 O 0.1565 0.3682 0.7504
7 O 0.3682 0.7249 0.7504
8 O 0.6187 0.2351 0.2375
9 Pm 0.7963 0.7964 0.6109
10 Bi 0.3144 0.3144 0.0568

---

Number 1: DFT total energy -18.9 eV/cell, ΔE_f (raw) 2.34 eV per formula unit. Number 2: DFT total energy -260.2 eV/cell, ΔE_f (raw) -40.98 eV per formula unit. Number 3: DFT total energy -79.0 eV/cell, ΔE_f (raw) -22.75 eV per formula unit. Number 4: DFT total energy -119.1 eV/cell, ΔE_f (raw) -19.78 eV per formula unit. Number 5: DFT total energy -140.3 eV/cell, ΔE_f (raw) -21.53 eV per formula unit. Number 6: DFT total energy -109.9 eV/cell, ΔE_f (raw) -12.33 eV per formula unit. Number 7: DFT total energy -139.4 eV/cell, ΔE_f (raw) -24.95 eV per formula unit. Number 8: DFT total energy -63.9 eV/cell, ΔE_f (raw) -22.30 eV per formula unit.